[1]
First-principles (PBE) data for a relaxed MgMn2Zn2 crystal, as listed in the Alexandria database.

## Properties
Calculated formation energy = 158 meV per atom
Total moment = 1.258 μB per atom
Calculated volume = 15.47 A^3/atom

a = 7.4156 Å, b = 7.4156 Å, c = 2.8134 Å
α = 90.00°, β = 90.00°, γ = 90.00°
Last column: nearest neighbours and their distance in Å.
Atoms (fractional coordinates):
Mn 0.3761 0.8761 0.0000  6 Zn 2.56-2.63, 3 Mn 2.60-2.81
Mn 0.8761 0.6239 0.0000  6 Zn 2.56-2.63, 3 Mn 2.60-2.81
Mn 0.1239 0.3761 0.0000  6 Zn 2.56-2.63, 3 Mn 2.60-2.81
Mn 0.6239 0.1239 0.0000  6 Zn 2.56-2.63, 3 Mn 2.60-2.81
Zn 0.6723 0.8277 0.5000  6 Mn 2.56-2.63, 2 Zn 2.81
Zn 0.1723 0.6723 0.5000  6 Mn 2.56-2.63, 2 Zn 2.81
Zn 0.3277 0.1723 0.5000  6 Mn 2.56-2.63, 2 Zn 2.81
Zn 0.8277 0.3277 0.5000  6 Mn 2.56-2.63, 2 Zn 2.81
Mg 0.5000 0.5000 0.0000  2 Mg 2.81, 4 Mn 2.94, 8 Zn 3.08
Mg 0.0000 0.0000 0.0000  2 Mg 2.81, 4 Mn 2.94, 8 Zn 3.08

=====

[2]
First-principles (PBE) data for a relaxed Ca4OsN5 crystal, as listed in the Alexandria database.

## Properties
Total moment = 0.066 μB per atom
Calculated volume = 14.15 A^3/atom
Raw formation energy = -0.61 eV per atom

a = 5.0972 Å, b = 5.8535 Å, c = 5.8535 Å
α = 79.07°, β = 64.19°, γ = 64.19°
Last column: nearest neighbours and their distance in Å.
Atoms (fractional coordinates):
Os 0.0713 0.0000 0.0000  1 N 1.80
N 0.7398 0.1716 0.3383  1 Os 2.04
N 0.2497 0.8284 0.6617  1 Os 2.04
N 0.4246 0.0000 0.0000  1 Os 1.80
N 0.0781 0.6617 0.1716  1 Os 2.04
N 0.9114 0.3383 0.8284  1 Os 2.04
Ca 0.2073 0.1966 0.4064  4 N 2.35-2.51
Ca 0.6138 0.5936 0.1966  4 N 2.35-2.51
Ca 0.4039 0.4064 0.8034  4 N 2.35-2.51
Ca 0.8104 0.8034 0.5936  4 N 2.35-2.51

=====

- total moment of number 2 (Ca4OsN5)?
  0.066 μB per atom